Below is a relaxed structure of K3MnS2O8, with properties calculated at the PBE+U level.

Structure (POSCAR):
```
K3MnS2O8
1.0
-0.669 -5.046 -2.974
3.029 4.454 -2.396
6.432 -2.694 3.125
O S K Mn
8 2 3 1
Cartesian
4.899 -3.012 0.595 O
3.894 -0.274 -2.840 O
4.621 -5.110 -0.641 O
5.881 -3.258 -1.637 O
6.820 -4.499 0.258 O
2.912 -0.028 -0.607 O
4.172 1.824 -1.603 O
1.973 1.214 -2.503 O
5.580 -3.980 -0.344 S
3.213 0.694 -1.900 S
6.187 -0.552 -0.455 K
0.000 0.000 0.000 K
2.605 -2.734 -1.789 K
3.216 -1.347 1.562 Mn
```

Calculated values
Crystal system = trigonal
SG = P-3m1
Calculated total energy = -5.771 eV per atom